# CrMo2W, optimized geometry, DFT PBE
# - ΔE to the lowest computed polymorph: 0.024 eV/atom
data_CrMo2W
_chemical_formula_sum 'Cr2 Mo4 W2'
_cell_length_a 5.369
_cell_length_b 8.767
_cell_length_c 2.711
_cell_angle_alpha 90.00
_cell_angle_beta 109.63
_cell_angle_gamma 90.00
_symmetry_space_group_name_H-M 'C 1 2/m 1'
_symmetry_Int_Tables_number 12
loop_
_symmetry_equiv_pos_as_xyz
'x,y,z'
'-x,-y,-z'
'-x,y,-z'
'x,-y,z'
'x+1/2,y+1/2,z'
'-x+1/2,-y+1/2,-z'
'-x+1/2,y+1/2,-z'
'x+1/2,-y+1/2,z'
loop_
_atom_site_label
_atom_site_type_symbol
_atom_site_fract_x
_atom_site_fract_y
_atom_site_fract_z
Cr1 Cr 0.000 0.000 0.000
Mo1 Mo 0.250 0.250 0.500
W1 W 0.000 0.500 0.000

# CrMo6W, optimized geometry, DFT PBE
# - ΔE to the lowest computed polymorph: 0.000 eV/atom
data_CrMo6W
_chemical_formula_sum 'Cr3 Mo18 W3'
_cell_length_a 7.0674
_cell_length_b 7.0674
_cell_length_c 8.6966
_cell_angle_alpha 90.00
_cell_angle_beta 90.00
_cell_angle_gamma 120.00
_symmetry_space_group_name_H-M 'R -3'
_symmetry_Int_Tables_number 148
_symmetry_space_group_name_Hall '-R 3'
loop_
_atom_site_label
_atom_site_type_symbol
_atom_site_fract_x
_atom_site_fract_y
_atom_site_fract_z
Cr1 Cr 0.0000 0.0000 0.0000
Mo1 Mo 0.0027 0.7508 0.7507
W1 W 0.0000 0.0000 0.5000

# CrMoW, optimized geometry, DFT PBE
# - ΔE to the lowest computed polymorph: 0.024 eV/atom
data_CrMoW
_chemical_formula_sum 'Cr4 Mo4 W4'
_cell_length_a 9.226
_cell_length_b 4.354
_cell_length_c 5.350
_cell_angle_alpha 90.00
_cell_angle_beta 125.03
_cell_angle_gamma 90.00
_symmetry_space_group_name_H-M 'C 1 m 1'
_symmetry_Int_Tables_number 8
loop_
_symmetry_equiv_pos_as_xyz
'x,y,z'
'x,-y,z'
'x+1/2,y+1/2,z'
'x+1/2,-y+1/2,z'
loop_
_atom_site_label
_atom_site_type_symbol
_atom_site_fract_x
_atom_site_fract_y
_atom_site_fract_z
Cr1 Cr 0.000 0.000 0.000
Cr2 Cr 0.167 0.500 0.501
Mo1 Mo 0.164 0.500 0.999
Mo2 Mo 0.329 0.000 0.499
W1 W 0.001 0.000 0.498
W2 W 0.338 0.000 0.004

# CrMo2W, optimized geometry, DFT PBE
# - ΔE to the lowest computed polymorph: 0.019 eV/atom
data_CrMo2W
_chemical_formula_sum 'Cr1 Mo2 W1'
_cell_length_a 2.706
_cell_length_b 4.372
_cell_length_c 5.152
_cell_angle_alpha 90.00
_cell_angle_beta 99.90
_cell_angle_gamma 90.00
_symmetry_space_group_name_H-M 'P 1 2/m 1'
_symmetry_Int_Tables_number 10
loop_
_symmetry_equiv_pos_as_xyz
'x,y,z'
'-x,-y,-z'
'-x,y,-z'
'x,-y,z'
loop_
_atom_site_label
_atom_site_type_symbol
_atom_site_fract_x
_atom_site_fract_y
_atom_site_fract_z
Cr1 Cr 0.000 0.000 0.000
Mo1 Mo 0.249 0.500 0.756
W1 W 0.500 0.000 0.500

Here is a geometry-optimized CrMo3W4 structure from Alexandria. Energies are from PBE.

Geometry as CIF:
```
data_CrMo3W4
_chemical_formula_sum 'Cr1 Mo3 W4'
_cell_length_a 3.145
_cell_length_b 3.145
_cell_length_c 12.566
_cell_angle_alpha 90.00
_cell_angle_beta 90.00
_cell_angle_gamma 90.00
_symmetry_space_group_name_H-M 'P 4/m m m'
_symmetry_Int_Tables_number 123
_symmetry_space_group_name_Hall '-P 4 2'
loop_
_atom_site_label
_atom_site_type_symbol
_atom_site_fract_x
_atom_site_fract_y
_atom_site_fract_z
Cr1 Cr 0.000 0.000 0.000
Mo1 Mo 0.000 0.000 0.245
Mo2 Mo 0.000 0.000 0.500
W1 W 0.500 0.500 0.118
W2 W 0.500 0.500 0.373
```

Here is a geometry-optimized CrMoW6 structure from Alexandria. Energies are from PBE.

Geometry as CIF:
```
data_CrMoW6
_chemical_formula_sum 'Cr2 Mo2 W12'
_cell_length_a 6.318
_cell_length_b 8.899
_cell_length_c 4.457
_cell_angle_alpha 90.00
_cell_angle_beta 90.00
_cell_angle_gamma 90.00
_symmetry_space_group_name_H-M 'C m m m'
_symmetry_Int_Tables_number 65
_symmetry_space_group_name_Hall '-C 2 2'
loop_
_atom_site_label
_atom_site_type_symbol
_atom_site_fract_x
_atom_site_fract_y
_atom_site_fract_z
Cr1 Cr 0.000 0.000 0.000
Mo1 Mo 0.000 0.500 0.000
W1 W 0.000 0.249 0.500
W2 W 0.246 0.000 0.500
W3 W 0.250 0.250 0.000
```

# CrMoW2, optimized geometry, DFT PBE
# - ΔE to the lowest computed polymorph: 0.024 eV/atom
data_CrMoW2
_chemical_formula_sum 'Cr2 Mo2 W4'
_cell_length_a 3.132
_cell_length_b 4.432
_cell_length_c 8.693
_cell_angle_alpha 90.00
_cell_angle_beta 90.00
_cell_angle_gamma 90.00
_symmetry_space_group_name_H-M 'C m m 2'
_symmetry_Int_Tables_number 35
loop_
_symmetry_equiv_pos_as_xyz
'x,y,z'
'-x,-y,z'
'-x,y,z'
'x,-y,z'
'x+1/2,y+1/2,z'
'-x+1/2,-y+1/2,z'
'-x+1/2,y+1/2,z'
'x+1/2,-y+1/2,z'
loop_
_atom_site_label
_atom_site_type_symbol
_atom_site_fract_x
_atom_site_fract_y
_atom_site_fract_z
Cr1 Cr 0.000 0.000 0.000
Mo1 Mo 0.000 0.500 0.237
W1 W 0.000 0.000 0.499
W2 W 0.000 0.500 0.761

# CrMoW, optimized geometry, DFT PBE
# - ΔE to the lowest computed polymorph: 0.042 eV/atom
data_CrMoW
_chemical_formula_sum 'Cr4 Mo4 W4'
_cell_length_a 3.097
_cell_length_b 4.398
_cell_length_c 12.951
_cell_angle_alpha 90.00
_cell_angle_beta 90.00
_cell_angle_gamma 90.00
_symmetry_space_group_name_H-M 'F m m 2'
_symmetry_Int_Tables_number 42
_symmetry_space_group_name_Hall 'F 2 -2'
loop_
_atom_site_label
_atom_site_type_symbol
_atom_site_fract_x
_atom_site_fract_y
_atom_site_fract_z
Cr1 Cr 0.000 0.000 0.000
Mo1 Mo 0.000 0.000 0.340
W1 W 0.000 0.000 0.661

# CrMoW, optimized geometry, DFT PBE
# - ΔE to the lowest computed polymorph: 0.020 eV/atom
data_CrMoW
_chemical_formula_sum 'Cr2 Mo2 W2'
_cell_length_a 3.090
_cell_length_b 3.090
_cell_length_c 9.213
_cell_angle_alpha 90.00
_cell_angle_beta 90.00
_cell_angle_gamma 90.00
_symmetry_space_group_name_H-M 'P 4/n m m'
_symmetry_Int_Tables_number 129
loop_
_symmetry_equiv_pos_as_xyz
'x,y,z'
'-x,-y,-z'
'-y+1/2,x,z'
'y+1/2,-x,-z'
'-x+1/2,-y+1/2,z'
'x+1/2,y+1/2,-z'
'y,-x+1/2,z'
'-y,x+1/2,-z'
'x+1/2,-y,-z'
'-x+1/2,y,z'
'-y,-x,-z'
'y,x,z'
'-x,y+1/2,-z'
'x,-y+1/2,z'
'y+1/2,x+1/2,-z'
'-y+1/2,-x+1/2,z'
loop_
_atom_site_label
_atom_site_type_symbol
_atom_site_fract_x
_atom_site_fract_y
_atom_site_fract_z
Cr1 Cr 0.250 0.250 0.077
Mo1 Mo 0.250 0.250 0.413
W1 W 0.250 0.250 0.764

# CrMo2W, optimized geometry, DFT PBE
# - ΔE to the lowest computed polymorph: 0.009 eV/atom
data_CrMo2W
_chemical_formula_sum 'Cr2 Mo4 W2'
_cell_length_a 3.119
_cell_length_b 4.428
_cell_length_c 8.679
_cell_angle_alpha 90.00
_cell_angle_beta 90.00
_cell_angle_gamma 90.00
_symmetry_space_group_name_H-M 'C m m 2'
_symmetry_Int_Tables_number 35
loop_
_symmetry_equiv_pos_as_xyz
'x,y,z'
'-x,-y,z'
'-x,y,z'
'x,-y,z'
'x+1/2,y+1/2,z'
'-x+1/2,-y+1/2,z'
'-x+1/2,y+1/2,z'
'x+1/2,-y+1/2,z'
loop_
_atom_site_label
_atom_site_type_symbol
_atom_site_fract_x
_atom_site_fract_y
_atom_site_fract_z
Cr1 Cr 0.000 0.000 0.000
Mo1 Mo 0.000 0.000 0.501
Mo2 Mo 0.000 0.500 0.763
W1 W 0.000 0.500 0.239

# Cr2MoW2, optimized geometry, DFT PBE
# - ΔE to the lowest computed polymorph: 0.248 eV/atom
data_Cr2MoW2
_chemical_formula_sum 'Cr4 Mo2 W4'
_cell_length_a 3.144
_cell_length_b 3.144
_cell_length_c 15.386
_cell_angle_alpha 90.00
_cell_angle_beta 90.00
_cell_angle_gamma 90.00
_symmetry_space_group_name_H-M 'I 4/m m m'
_symmetry_Int_Tables_number 139
_symmetry_space_group_name_Hall '-I 4 2'
loop_
_atom_site_label
_atom_site_type_symbol
_atom_site_fract_x
_atom_site_fract_y
_atom_site_fract_z
Cr1 Cr 0.000 0.500 0.250
Mo1 Mo 0.000 0.000 0.000
W1 W 0.000 0.000 0.398

Here is a geometry-optimized Cr2Mo3W8 structure from Alexandria. Energies are from PBE.

Geometry as CIF:
```
data_Cr2Mo3W8
_chemical_formula_sum 'Cr2 Mo3 W8'
_cell_length_a 5.067
_cell_length_b 5.538
_cell_length_c 7.912
_cell_angle_alpha 78.11
_cell_angle_beta 81.43
_cell_angle_gamma 77.68
_symmetry_space_group_name_H-M 'P -1'
_symmetry_Int_Tables_number 2
loop_
_symmetry_equiv_pos_as_xyz
'x,y,z'
'-x,-y,-z'
loop_
_atom_site_label
_atom_site_type_symbol
_atom_site_fract_x
_atom_site_fract_y
_atom_site_fract_z
Cr1 Cr 0.239 0.130 0.045
Mo1 Mo 0.000 0.500 0.500
Mo2 Mo 0.482 0.723 0.517
W1 W 0.139 0.081 0.358
W2 W 0.180 0.525 0.821
W3 W 0.292 0.657 0.134
W4 W 0.297 0.999 0.777
```

Number 1: energy -11.00 eV per atom, energy of formation from the pure elements 0.064 eV per atom. Number 2: energy -10.86 eV per atom, energy of formation from the pure elements 0.088 eV per atom. Number 3: energy -11.07 eV per atom, energy of formation from the pure elements 0.069 eV per atom. Number 4: energy -11.00 eV per atom, energy of formation from the pure elements 0.058 eV per atom. Number 5: energy -11.73 eV per atom, energy of formation from the pure elements 0.012 eV per atom. Number 6: energy -12.24 eV per atom, energy of formation from the pure elements 0.033 eV per atom. Number 7: energy -11.53 eV per atom, energy of formation from the pure elements 0.055 eV per atom. Number 8: energy -11.05 eV per atom, energy of formation from the pure elements 0.087 eV per atom. Number 9: energy -11.07 eV per atom, energy of formation from the pure elements 0.064 eV per atom. Number 10: energy -11.01 eV per atom, energy of formation from the pure elements 0.049 eV per atom. Number 11: energy -10.54 eV per atom, energy of formation from the pure elements 0.657 eV per atom. Number 12: energy -11.45 eV per atom, energy of formation from the pure elements 0.499 eV per atom.